No. 1
Compound: AlInAsPb2
Source: Alexandria
Functional: PBE
Structure: optimized geometry

## Properties
The value obtained for the total magnetization is 0.000 μB/atom. The calculation puts the formation energy at 0.380 eV per atom. Its calculated total energy is -0.1223 Ha/atom.

Unit cell a=5.8881 b=5.8881 c=4.6870 alpha=90.00 beta=90.00 gamma=90.00
Fractional coordinates of all 5 atoms:
Al: 0.0000 0.0000 0.0000
In: 0.5000 0.5000 0.0000
As: 0.0000 0.0000 0.5000
Pb: 0.0000 0.5000 0.5000
Pb: 0.5000 0.0000 0.5000

No. 2
Compound: TbPm3Cd4
Source: Alexandria
Functional: PBE
Structure: optimized geometry

## Properties
The value obtained for the total magnetization is 0.192 μB/atom. The calculation puts the formation energy at -0.318 eV per atom. Its calculated total energy is -0.1153 Ha/atom.

Unit cell a=10.7268 b=7.7079 c=5.3647 alpha=90.00 beta=90.00 gamma=90.00
Fractional coordinates of all 16 atoms:
Tb: 0.0000 0.0000 0.0000
Tb: 0.5000 0.0000 0.0000
Pm: 0.0000 0.5000 0.0000
Pm: 0.2500 0.0000 0.4986
Pm: 0.2500 0.5000 0.4985
Pm: 0.5000 0.5000 0.0000
Pm: 0.7500 0.0000 0.5014
Pm: 0.7500 0.5000 0.5015
Cd: 0.0000 0.2453 0.5000
Cd: 0.0000 0.7547 0.5000
Cd: 0.2500 0.2453 0.9983
Cd: 0.2500 0.7547 0.9983
Cd: 0.5000 0.2453 0.5000
Cd: 0.5000 0.7547 0.5000
Cd: 0.7500 0.2453 0.0017
Cd: 0.7500 0.7547 0.0017

> What is the formula in the first record?

AlInAsPb2